1.
{
  "formula": "Nd3SiS6Cl",
  "functional": "GGA-PBE",
  "state": "optimized geometry",
  "total_energy_ev_per_atom": -5.958,
  "spacegroup": "Pnma, No. 62",
  "dos_at_fermi_per_ev_atom": 0.0000,
  "total_magnetization_mub_per_cell": 0.00,
  "lattice": [[10.487, 0.000, 0.000], [0.000, 12.642, 0.000], [0.000, 0.000, 16.384]],
  "species": ["S", "S", "S", "S", "S", "S", "S", "S", "S", "S", "S", "S", "S", "S", "S", "S", "S", "S", "S", "S", "S", "S", "S", "S", "S", "S", "S", "S", "S", "S", "S", "S", "S", "S", "S", "S", "S", "S", "S", "S", "S", "S", "S", "S", "S", "S", "S", "S", "Nd", "Nd", "Nd", "Nd", "Nd", "Nd", "Nd", "Nd", "Nd", "Nd", "Nd", "Nd", "Nd", "Nd", "Nd", "Nd", "Nd", "Nd", "Nd", "Nd", "Nd", "Nd", "Nd", "Nd", "Cl", "Cl", "Cl", "Cl", "Cl", "Cl", "Cl", "Cl", "Si", "Si", "Si", "Si", "Si", "Si", "Si", "Si"],
  "fractional_positions": [[0.750, 0.437, 0.454], [0.750, 0.523, 0.792], [0.990, 0.658, 0.430], [0.510, 0.158, 0.070], [0.010, 0.342, 0.570], [0.083, 0.530, 0.730], [0.083, 0.030, 0.770], [0.490, 0.342, 0.570], [0.990, 0.158, 0.070], [0.409, 0.240, 0.247], [0.750, 0.618, 0.598], [0.750, 0.937, 0.046], [0.250, 0.645, 0.887], [0.250, 0.063, 0.954], [0.591, 0.760, 0.753], [0.091, 0.740, 0.253], [0.250, 0.312, 0.028], [0.917, 0.470, 0.270], [0.250, 0.382, 0.402], [0.750, 0.688, 0.972], [0.250, 0.977, 0.292], [0.583, 0.470, 0.270], [0.250, 0.145, 0.613], [0.250, 0.882, 0.098], [0.250, 0.269, 0.802], [0.909, 0.260, 0.747], [0.250, 0.477, 0.208], [0.750, 0.355, 0.113], [0.417, 0.030, 0.770], [0.750, 0.188, 0.528], [0.510, 0.658, 0.430], [0.250, 0.769, 0.698], [0.417, 0.530, 0.730], [0.250, 0.812, 0.472], [0.909, 0.760, 0.753], [0.750, 0.855, 0.387], [0.250, 0.563, 0.546], [0.091, 0.240, 0.247], [0.591, 0.260, 0.747], [0.750, 0.731, 0.198], [0.490, 0.842, 0.930], [0.409, 0.740, 0.253], [0.750, 0.118, 0.902], [0.583, 0.970, 0.230], [0.750, 0.023, 0.708], [0.917, 0.970, 0.230], [0.010, 0.842, 0.930], [0.750, 0.231, 0.302], [0.956, 0.813, 0.094], [0.250, 0.115, 0.125], [0.956, 0.313, 0.406], [0.544, 0.813, 0.094], [0.464, 0.381, 0.112], [0.456, 0.687, 0.594], [0.964, 0.619, 0.888], [0.964, 0.119, 0.612], [0.044, 0.187, 0.906], [0.250, 0.878, 0.861], [0.036, 0.881, 0.388], [0.750, 0.885, 0.875], [0.750, 0.622, 0.361], [0.456, 0.187, 0.906], [0.750, 0.122, 0.139], [0.536, 0.119, 0.612], [0.036, 0.381, 0.112], [0.250, 0.615, 0.375], [0.544, 0.313, 0.406], [0.536, 0.619, 0.888], [0.250, 0.378, 0.639], [0.750, 0.385, 0.625], [0.044, 0.687, 0.594], [0.464, 0.881, 0.388], [0.043, 0.103, 0.440], [0.457, 0.603, 0.060], [0.543, 0.397, 0.940], [0.543, 0.897, 0.560], [0.957, 0.397, 0.940], [0.457, 0.103, 0.440], [0.043, 0.603, 0.060], [0.957, 0.897, 0.560], [0.250, 0.117, 0.741], [0.250, 0.617, 0.759], [0.750, 0.664, 0.722], [0.750, 0.164, 0.778], [0.250, 0.836, 0.222], [0.250, 0.336, 0.278], [0.750, 0.383, 0.241], [0.750, 0.883, 0.259]]
}

***

2.
{
  "formula": "NdSmSCl",
  "functional": "GGA-PBE",
  "state": "optimized geometry",
  "total_energy_ev_per_atom": -5.520,
  "spacegroup": "Cm, No. 8",
  "dos_at_fermi_per_ev_atom": 0.6148,
  "total_magnetization_mub_per_cell": 0.00,
  "lattice": [[3.888, -0.001, 0.002], [-1.944, 3.369, 0.000], [-1.939, -1.121, 7.502]],
  "species": ["S", "Sm", "Cl", "Nd"],
  "fractional_positions": [[0.306, 0.551, 0.872], [0.113, 0.954, 0.082], [0.963, 0.379, 0.357], [0.497, 0.146, 0.658]]
}

***

3.
{
  "formula": "Nd3SnSCl",
  "functional": "GGA-PBE",
  "state": "optimized geometry",
  "total_energy_ev_per_atom": -5.445,
  "spacegroup": "P2_1/m, No. 11",
  "dos_at_fermi_per_ev_atom": 0.8095,
  "total_magnetization_mub_per_cell": 0.09,
  "lattice": [[-0.187, 2.668, -3.261], [-2.256, -6.137, -4.891], [-8.118, 5.389, 4.873]],
  "species": ["Nd", "Nd", "Nd", "Nd", "Nd", "Nd", "S", "S", "Sn", "Sn", "Cl", "Cl"],
  "fractional_positions": [[0.250, 0.075, 0.891], [0.750, 0.494, 0.163], [0.250, 0.704, 0.507], [0.750, 0.925, 0.109], [0.750, 0.296, 0.493], [0.250, 0.506, 0.837], [0.750, 0.296, 0.881], [0.250, 0.704, 0.119], [0.750, 0.728, 0.743], [0.250, 0.272, 0.257], [0.750, 0.847, 0.395], [0.250, 0.153, 0.605]]
}

***

4.
{
  "formula": "Nd4ZnS2Cl",
  "functional": "GGA-PBE",
  "state": "optimized geometry",
  "total_energy_ev_per_atom": -5.244,
  "spacegroup": "P2/m, No. 10",
  "dos_at_fermi_per_ev_atom": 0.5476,
  "total_magnetization_mub_per_cell": 0.00,
  "lattice": [[4.047, 0.000, 0.000], [0.000, 7.212, 0.200], [0.000, -2.449, 6.793]],
  "species": ["Nd", "Nd", "Nd", "Nd", "Zn", "Cl", "S", "S"],
  "fractional_positions": [[0.000, 0.753, 0.263], [0.500, 0.265, 0.270], [0.000, 0.247, 0.737], [0.500, 0.735, 0.730], [0.500, 0.500, 0.000], [0.000, 0.000, 0.000], [0.000, 0.500, 0.500], [0.500, 0.000, 0.500]]
}

***

5.
{
  "formula": "Nd2SbCl",
  "functional": "GGA-PBE",
  "state": "optimized geometry",
  "relative_energy_ev_per_atom": 0.000,
  "total_energy_ev_per_atom": -5.154,
  "spacegroup": "R-3m, No. 166",
  "dos_at_fermi_per_ev_atom": 0.5741,
  "total_magnetization_mub_per_cell": 0.00,
  "lattice": [[4.450, 0.000, 0.000], [2.225, 3.854, 0.000], [2.225, 1.285, 6.679]],
  "species": ["Nd", "Nd", "Sb", "Cl"],
  "fractional_positions": [[0.745, 0.745, 0.765], [0.255, 0.255, 0.235], [0.500, 0.500, 0.500], [0.000, 0.000, 0.000]]
}

***

6.
{
  "formula": "Nd2SbCl",
  "functional": "GGA-PBE",
  "state": "optimized geometry",
  "relative_energy_ev_per_atom": 0.063,
  "total_energy_ev_per_atom": -5.091,
  "spacegroup": "R3m, No. 160",
  "dos_at_fermi_per_ev_atom": 0.5195,
  "total_magnetization_mub_per_cell": 0.00,
  "lattice": [[-3.039, -0.114, 3.014], [-0.412, -3.454, 2.495], [3.703, 1.850, 6.844]],
  "species": ["Nd", "Nd", "Cl", "Sb"],
  "fractional_positions": [[0.255, 0.255, 0.235], [0.079, 0.079, 0.763], [0.498, 0.498, 0.505], [0.668, 0.668, 0.997]]
}

***

7.
{
  "formula": "Nd5Sb4Cl",
  "functional": "GGA-PBE",
  "state": "optimized geometry",
  "total_energy_ev_per_atom": -5.460,
  "spacegroup": "Immm, No. 71",
  "dos_at_fermi_per_ev_atom": 0.3471,
  "total_magnetization_mub_per_cell": 0.00,
  "lattice": [[4.423, 0.000, -0.853], [-0.326, 6.081, -1.688], [-0.020, -0.013, 11.785]],
  "species": ["Nd", "Nd", "Nd", "Nd", "Nd", "Sb", "Sb", "Sb", "Sb", "Cl"],
  "fractional_positions": [[0.200, 0.700, 0.400], [0.800, 0.300, 0.600], [0.397, 0.897, 0.794], [0.603, 0.103, 0.206], [0.000, 0.500, 0.000], [0.198, 0.198, 0.397], [0.802, 0.802, 0.603], [0.598, 0.598, 0.197], [0.402, 0.402, 0.803], [0.000, 0.000, 0.000]]
}

***

8.
{
  "formula": "Nd3SbCl3",
  "functional": "GGA-PBE",
  "state": "optimized geometry",
  "total_energy_ev_per_atom": -4.990,
  "spacegroup": "R-3, No. 148",
  "dos_at_fermi_per_ev_atom": 0.4596,
  "total_magnetization_mub_per_cell": 0.00,
  "lattice": [[7.322, 0.000, 0.000], [3.661, 6.341, 0.000], [3.661, 2.114, 10.216]],
  "species": ["Nd", "Nd", "Nd", "Nd", "Nd", "Nd", "Cl", "Cl", "Cl", "Cl", "Cl", "Cl", "Sb", "Sb"],
  "fractional_positions": [[0.728, 0.390, 0.824], [0.941, 0.272, 0.176], [0.610, 0.941, 0.176], [0.059, 0.728, 0.824], [0.272, 0.610, 0.176], [0.390, 0.059, 0.824], [0.111, 0.446, 0.667], [0.224, 0.889, 0.333], [0.776, 0.111, 0.667], [0.889, 0.554, 0.333], [0.554, 0.224, 0.333], [0.446, 0.776, 0.667], [0.667, 0.667, 0.000], [0.333, 0.333, 0.000]]
}

***

9.
{
  "formula": "Nd2SbCl",
  "functional": "GGA-PBE",
  "state": "optimized geometry",
  "relative_energy_ev_per_atom": 0.065,
  "total_energy_ev_per_atom": -5.089,
  "spacegroup": "Fm-3m, No. 225",
  "dos_at_fermi_per_ev_atom": 0.7578,
  "total_magnetization_mub_per_cell": 0.02,
  "lattice": [[5.348, 0.000, 0.000], [2.674, 4.631, 0.000], [2.674, 1.544, 4.367]],
  "species": ["Nd", "Nd", "Cl", "Sb"],
  "fractional_positions": [[0.750, 0.750, 0.750], [0.250, 0.250, 0.250], [0.000, 0.000, 0.000], [0.500, 0.500, 0.500]]
}

***

10.
{
  "formula": "NdSmSbCl",
  "functional": "GGA-PBE",
  "state": "optimized geometry",
  "total_energy_ev_per_atom": -5.055,
  "spacegroup": "F-43m, No. 216",
  "dos_at_fermi_per_ev_atom": 0.7333,
  "total_magnetization_mub_per_cell": 0.01,
  "lattice": [[-0.639, -4.883, -2.008], [4.044, -2.407, -2.477], [2.422, -4.150, 2.279]],
  "species": ["Cl", "Nd", "Sb", "Sm"],
  "fractional_positions": [[0.500, 0.500, 0.500], [0.750, 0.750, 0.750], [0.000, 0.000, 0.000], [0.250, 0.250, 0.250]]
}

***

11.
{
  "formula": "Nd3SbTeCl",
  "functional": "GGA-PBE",
  "state": "optimized geometry",
  "total_energy_ev_per_atom": -5.163,
  "spacegroup": "P2_1/m, No. 11",
  "dos_at_fermi_per_ev_atom": 0.5826,
  "total_magnetization_mub_per_cell": 1.32,
  "lattice": [[-4.288, -0.054, -1.215], [1.345, -7.511, -4.412], [-2.454, -3.516, 8.821]],
  "species": ["Te", "Te", "Nd", "Nd", "Nd", "Nd", "Nd", "Nd", "Cl", "Cl", "Sb", "Sb"],
  "fractional_positions": [[0.250, 0.172, 0.226], [0.750, 0.828, 0.774], [0.250, 0.102, 0.879], [0.750, 0.411, 0.155], [0.250, 0.738, 0.493], [0.750, 0.262, 0.507], [0.750, 0.898, 0.121], [0.250, 0.589, 0.845], [0.750, 0.907, 0.414], [0.250, 0.093, 0.586], [0.750, 0.340, 0.835], [0.250, 0.660, 0.165]]
}

***

12.
{
  "formula": "Nd3ScCl",
  "functional": "GGA-PBE",
  "state": "optimized geometry",
  "total_energy_ev_per_atom": -4.916,
  "spacegroup": "Pm-3m, No. 221",
  "dos_at_fermi_per_ev_atom": 1.0265,
  "total_magnetization_mub_per_cell": 0.00,
  "lattice": [[-4.726, -2.489, -0.854], [2.558, -4.757, -0.295], [-0.616, -0.661, 5.333]],
  "species": ["Nd", "Nd", "Nd", "Cl", "Sc"],
  "fractional_positions": [[0.500, 0.000, 0.000], [0.000, 0.000, 0.500], [0.000, 0.500, 0.000], [0.000, 0.000, 0.000], [0.500, 0.500, 0.500]]
}

***

Number 1: formation energy without anion corrections -1.746 eV per atom. Number 2: formation energy without anion corrections -1.655 eV per atom. Number 3: formation energy without anion corrections -1.398 eV per atom. Number 4: formation energy without anion corrections -1.438 eV per atom. Number 5: formation energy without anion corrections -1.278 eV per atom. Number 6: formation energy without anion corrections -1.215 eV per atom. Number 7: formation energy without anion corrections -1.243 eV per atom. Number 8: formation energy without anion corrections -1.566 eV per atom. Number 9: formation energy without anion corrections -1.212 eV per atom. Number 10: formation energy without anion corrections -1.191 eV per atom. Number 11: formation energy without anion corrections -1.261 eV per atom. Number 12: formation energy without anion corrections -0.419 eV per atom.